1.
# Ga2Cu2Rh | Alexandria via LeMat-Bulk | GGA-PBE | relaxed
# Energy relative to the elements   -0.6 eV per formula unit
# DOS(E_F)   2.36 states/eV/f.u.
# Raw total energy   -4.44 eV/atom
data_Ga2Cu2Rh
_chemical_formula_sum 'Ga4 Cu4 Rh2'
_symmetry_space_group_name_H-M 'I 4/m m m'
_symmetry_Int_Tables_number 139
_symmetry_space_group_name_Hall '-I 4 2'
_cell_length_a 3.306
_cell_length_b 3.306
_cell_length_c 13.290
_cell_angle_alpha 90.00
_cell_angle_beta 90.00
_cell_angle_gamma 90.00
loop_
_atom_site_label
_atom_site_fract_x
_atom_site_fract_y
_atom_site_fract_z
Ga1 0.000 0.000 0.100
Cu1 0.000 0.500 0.250
Rh1 0.000 0.000 0.500

2.
# Ga5CuRh6 | Alexandria via LeMat-Bulk | GGA-PBE | relaxed
# Energy relative to the elements   -7.6 eV per formula unit
# DOS(E_F)   2.80 states/eV/f.u.
# Raw total energy   -5.91 eV/atom
data_Ga5CuRh6
_chemical_formula_sum 'Ga10 Cu2 Rh12'
_symmetry_space_group_name_H-M 'C m m m'
_symmetry_Int_Tables_number 65
_symmetry_space_group_name_Hall '-C 2 2'
_cell_length_a 4.275
_cell_length_b 12.849
_cell_length_c 6.053
_cell_angle_alpha 90.00
_cell_angle_beta 90.00
_cell_angle_gamma 90.00
loop_
_atom_site_label
_atom_site_fract_x
_atom_site_fract_y
_atom_site_fract_z
Ga1 0.000 0.000 0.000
Ga2 0.000 0.333 0.000
Ga3 0.000 0.340 0.500
Cu1 0.000 0.000 0.500
Rh1 0.000 0.169 0.250
Rh2 0.000 0.500 0.243

3.
# Ga4CuRh | Alexandria via LeMat-Bulk | GGA-PBE | relaxed
# Energy relative to the elements   -1.7 eV per formula unit
# DOS(E_F)   2.45 states/eV/f.u.
# Raw total energy   -4.21 eV/atom
data_Ga4CuRh
_chemical_formula_sum 'Ga8 Cu2 Rh2'
_symmetry_space_group_name_H-M 'P -1'
_symmetry_Int_Tables_number 2
_cell_length_a 5.883
_cell_length_b 5.905
_cell_length_c 7.124
_cell_angle_alpha 113.65
_cell_angle_beta 113.44
_cell_angle_gamma 90.19
loop_
_symmetry_equiv_pos_as_xyz
'x,y,z'
'-x,-y,-z'
loop_
_atom_site_label
_atom_site_fract_x
_atom_site_fract_y
_atom_site_fract_z
Ga1 0.002 0.253 0.499
Ga2 0.245 0.497 0.001
Ga3 0.252 0.003 0.999
Ga4 0.498 0.245 0.501
Cu1 0.124 0.876 0.250
Rh1 0.376 0.624 0.750